# 1
A relaxed structure of Sr3Y. Source: Alexandria, functional PBE-GGA.

**DFT total energy**: -2.70 eV per atom

Cell lengths 4.0593, 5.5597, 8.3161 Å; angles 90.00, 90.00, 90.00 degrees
Closest atoms and distances in Å follow each position.
Space group Pmmm (No. 47)
Inequivalent atoms, fractional coordinates:
Sr 0.0000 0.0000 0.0000  10 Sr 4.06-4.10, 2 Y 4.16
Sr 0.5000 0.5000 0.2684  7 Sr 3.85-4.10, 4 Y 3.94
Y 0.0000 0.0000 0.5000  10 Sr 3.94-4.16, 2 Y 4.06

# 2
A relaxed structure of SrY8. Source: Alexandria, functional PBE-GGA.

**DFT total energy**: -5.85 eV per atom

Cell lengths 10.9036, 10.9036, 5.1302 Å; angles 90.00, 90.00, 90.00 degrees
Closest atoms and distances in Å follow each position.
Space group I4/mmm (No. 139)
Inequivalent atoms, fractional coordinates:
Sr 0.0000 0.0000 0.0000  12 Y 3.71
Y 0.0000 0.3400 0.0000  11 Y 3.49-3.67, 1 Sr 3.71
Y 0.1741 0.1741 0.5000  10 Y 3.47-3.80, 2 Sr 3.71

# 3
A relaxed structure of SrYZn2. Source: Alexandria, functional PBE-GGA.

**DFT total energy**: -2.72 eV per atom

Cell lengths 3.7140, 3.7140, 8.0083 Å; angles 90.00, 90.00, 90.00 degrees
Closest atoms and distances in Å follow each position.
Space group P4mm (No. 99)
Inequivalent atoms, fractional coordinates:
Sr 0.0000 0.0000 0.0000  5 Zn 3.31-3.41
Y 0.5000 0.5000 0.3808  5 Zn 2.95-3.05
Zn 0.0000 0.0000 0.5742  4 Zn 2.98, 4 Y 3.05
Zn 0.5000 0.5000 0.7492  1 Y 2.95, 4 Zn 2.98

# 4
A relaxed structure of SrY4Zn5. Source: Alexandria, functional PBE-GGA.

**DFT total energy**: -3.71 eV per atom

Cell lengths 3.6359, 3.6359, 18.2216 Å; angles 90.00, 90.00, 90.00 degrees
Closest atoms and distances in Å follow each position.
Space group P4/mmm (No. 123)
Inequivalent atoms, fractional coordinates:
Sr 0.0000 0.0000 0.0000  8 Zn 3.38, 4 Sr 3.64
Y 0.0000 0.0000 0.2100  8 Zn 3.05-3.11
Y 0.0000 0.0000 0.4036  8 Zn 3.11-3.12
Zn 0.5000 0.5000 0.1203  4 Y 3.05, 4 Sr 3.38, 1 Zn 3.39
Zn 0.5000 0.5000 0.3062  8 Y 3.11-3.12, 1 Zn 3.39
Zn 0.5000 0.5000 0.5000  8 Y 3.11

# 5
A relaxed structure of Sr2YZn. Source: Alexandria, functional PBE-GGA.

**DFT total energy**: -2.63 eV per atom

Cell lengths 3.9656, 3.9656, 33.3343 Å; angles 90.00, 90.00, 120.00 degrees
Closest atoms and distances in Å follow each position.
Space group R-3m (No. 166, hexagonal axes)
Inequivalent atoms, fractional coordinates:
Sr 0.0000 0.0000 0.2376  3 Zn 3.29
Y 0.0000 0.0000 0.0000  6 Sr 3.93, 6 Y 3.97
Zn 0.0000 0.0000 0.5000  6 Sr 3.29

# 6
A relaxed structure of SrYZn2. Source: Alexandria, functional PBE-GGA.

**DFT total energy**: -2.50 eV per atom

Cell lengths 7.3400, 7.3400, 7.3400 Å; angles 90.00, 90.00, 90.00 degrees
Closest atoms and distances in Å follow each position.
Space group F-43m (No. 216)
Inequivalent atoms, fractional coordinates:
Sr 0.0000 0.0000 0.0000  4 Zn 3.18, 4 Y 3.18
Y 0.2500 0.2500 0.2500  4 Sr 3.18, 4 Zn 3.18
Zn 0.0000 0.0000 0.5000  4 Y 3.18, 4 Zn 3.18
Zn 0.2500 0.2500 0.7500  4 Sr 3.18, 4 Zn 3.18

# 7
A relaxed structure of SrYZn. Source: Alexandria, functional PBE-GGA.

**DFT total energy**: -3.26 eV per atom

Cell lengths 3.7428, 3.7428, 13.3855 Å; angles 90.00, 90.00, 90.00 degrees
Closest atoms and distances in Å follow each position.
Space group I4mm (No. 107)
Inequivalent atoms, fractional coordinates:
Sr 0.0000 0.0000 0.0000  4 Zn 3.42, 1 Y 3.63, 4 Sr 3.74
Y 0.0000 0.0000 0.7286  4 Zn 3.02
Zn 0.0000 0.0000 0.3378  4 Y 3.02

# 8
A relaxed structure of SrY2Zn2. Source: Alexandria, functional PBE-GGA.

**DFT total energy**: -3.51 eV per atom

Cell lengths 4.8505, 4.8505, 12.5187 Å; angles 90.00, 90.00, 90.00 degrees
Closest atoms and distances in Å follow each position.
Space group I4/mmm (No. 139)
Inequivalent atoms, fractional coordinates:
Sr 0.0000 0.0000 0.0000  8 Zn 3.65, 8 Y 3.96
Y 0.0000 0.5000 0.2500  4 Zn 3.06
Zn 0.0000 0.0000 0.3992  1 Zn 2.52

# 9
A relaxed structure of SrYZn3. Source: Alexandria, functional PBE-GGA.

**DFT total energy**: -1.65 eV per atom

Cell lengths 5.3590, 5.3590, 5.3590 Å; angles 90.00, 90.00, 90.00 degrees
Closest atoms and distances in Å follow each position.
Space group Pm-3m (No. 221)
Inequivalent atoms, fractional coordinates:
Sr 0.0000 0.0000 0.0000  6 Zn 2.68
Y 0.5000 0.5000 0.5000  12 Zn 3.79
Zn 0.0000 0.0000 0.5000  2 Sr 2.68

# 10
A relaxed structure of Sr4YZn. Source: Alexandria, functional PBE-GGA.

**DFT total energy**: -1.85 eV per atom

Cell lengths 10.3356, 10.3356, 10.3356 Å; angles 90.00, 90.00, 90.00 degrees
Closest atoms and distances in Å follow each position.
Space group F-43m (No. 216)
Inequivalent atoms, fractional coordinates:
Sr 0.1243 0.1243 0.1243  6 Sr 3.64-3.67
Y 0.2500 0.2500 0.7500  12 Sr 4.28, 4 Zn 4.48
Zn 0.0000 0.0000 0.5000  12 Sr 4.29, 4 Y 4.48

# 11
A relaxed structure of SrYZn2. Source: Alexandria, functional PBE-GGA.

**DFT total energy**: -2.64 eV per atom

Cell lengths 4.4547, 4.4547, 10.6699 Å; angles 90.00, 90.00, 90.00 degrees
Closest atoms and distances in Å follow each position.
Space group I-4m2 (No. 119)
Inequivalent atoms, fractional coordinates:
Sr 0.0000 0.0000 0.0000  8 Zn 3.15-3.48, 4 Y 3.48
Y 0.0000 0.5000 0.7500  8 Zn 3.15-3.48, 4 Sr 3.48
Zn 0.0000 0.0000 0.5000  4 Sr 3.15, 4 Zn 3.48, 4 Y 3.48
Zn 0.0000 0.5000 0.2500  4 Y 3.15, 4 Sr 3.48, 4 Zn 3.48

# 12
A relaxed structure of SrYZn2. Source: Alexandria, functional PBE-GGA.

**DFT total energy**: -2.82 eV per atom

Cell lengths 4.4582, 4.4582, 20.6947 Å; angles 90.00, 90.00, 120.00 degrees
Closest atoms and distances in Å follow each position.
Space group R3m (No. 160, hexagonal axes)
Inequivalent atoms, fractional coordinates:
Sr 0.0000 0.0000 0.0000  6 Zn 3.40-3.44, 1 Y 3.77
Y 0.0000 0.0000 0.1820  6 Zn 2.97-3.01
Zn 0.0000 0.0000 0.4403  3 Zn 2.57
Zn 0.0000 0.0000 0.7770  3 Zn 2.57

| no. | ΔH_f (0 K) (eV/atom) |
| --- | --- |
| 1 | 0.18 |
| 2 | 0.09 |
| 3 | -0.05 |
| 4 | -0.32 |
| 5 | 0.14 |
| 6 | 0.18 |
| 7 | -0.12 |
| 8 | -0.08 |
| 9 | 0.74 |
| 10 | 0.56 |
| 11 | 0.03 |
| 12 | -0.15 |